DFT (PBE-GGA) results for a relaxed structure of CuPCl2O.

abc: 4.6014 4.6014 4.6658
angles: 90.00 90.00 90.00
Closest atoms and distances in Å follow each position.
Positions (direct):
Cu 0.0000 0.0000 0.0000  4 Cl 2.30, 2 P 2.33
P 0.0000 0.0000 0.5000  2 Cu 2.33
Cl 0.5000 0.0000 0.0000  2 Cu 2.30
Cl 0.0000 0.5000 0.0000  2 Cu 2.30
O 0.5000 0.5000 0.5000  4 P 3.25, 8 Cl 3.28

Calculated values
Polymorph energy (0 for the lowest one) ... 9.79 kcal/mol of atoms
Space group ... P4/mmm (123)
Magnetization ... 0.8 μB/f.u.
Crystal system ... tetragonal